A plane-wave DFT calculation with PBE with a Hubbard U was carried out for a geometry-optimized Cd2MoF structure.

The space group is I-42d (No. 122) and the conventional cell measures 7.5267, 7.5267 and 5.7961 Å, with angles of 90.00, 90.00 and 90.00 degrees. The asymmetric unit holds Cd at (0.1974, 0.2500, 0.1250), Mo at (0.0000, 0.0000, 0.5000) and F at (0.0000, 0.0000, 0.0000).

The energy above the most stable polymorph in this dataset comes out at 0.0 kJ/mol of atoms.